(1)
! SnHg PBE relaxed; values from VASP
! total magnetic moment = 0.000 μB/atom
! calculated volume = 44.04 Å³ per atom
! energy relative to the elements = 32.87 kJ/mol of atoms
! E = -3.6 eV per formula unit
&SYSTEM
  ibrav = 0, nat = 12, ntyp = 2
/
ATOMIC_SPECIES
Sn 118.71 Sn.upf
Hg 200.59 Hg.upf
ATOMIC_POSITIONS crystal
Sn 0.000 0.250 0.500
Sn 0.000 0.750 0.500
Sn 0.250 0.500 0.000
Sn 0.500 0.000 0.250
Sn 0.500 0.000 0.750
Sn 0.750 0.500 0.000
Hg 0.000 0.500 0.250
Hg 0.000 0.500 0.750
Hg 0.250 0.000 0.500
Hg 0.500 0.250 0.000
Hg 0.500 0.750 0.000
Hg 0.750 0.000 0.500
CELL_PARAMETERS angstrom
8.085 0.000 0.000
0.000 8.085 0.000
0.000 0.000 8.085

***

(2)
! LaPrNd PBE relaxed; values from VASP
! total magnetic moment = 0.000 μB/atom
! calculated volume = 36.31 Å³ per atom
! energy relative to the elements = 1.55 kJ/mol of atoms
! E = -14.4 eV per formula unit
! energy above the lowest structure with this stoichiometry = 6 meV/atom
&SYSTEM
  ibrav = 0, nat = 3, ntyp = 3
/
ATOMIC_SPECIES
La 138.91 La.upf
Pr 140.91 Pr.upf
Nd 144.24 Nd.upf
ATOMIC_POSITIONS crystal
La 0.000 0.000 0.000
Pr 0.332 0.332 0.000
Nd 0.667 0.667 0.000
CELL_PARAMETERS angstrom
-1.858 1.858 7.887
1.858 -1.858 7.887
1.858 1.858 -7.887

***

(3)
! HfTiH PBE relaxed; values from VASP
! total magnetic moment = 0.000 μB/atom
! calculated volume = 13.72 Å³ per atom
! E = -21.5 eV per formula unit
! energy above the lowest structure with this stoichiometry = 72 meV/atom
&SYSTEM
  ibrav = 0, nat = 3, ntyp = 3
/
ATOMIC_SPECIES
Hf 178.49 Hf.upf
Ti 47.87 Ti.upf
H 1.01 H.upf
ATOMIC_POSITIONS crystal
Hf 0.000 0.000 0.000
Ti 0.667 0.333 0.486
H 0.333 0.667 0.715
CELL_PARAMETERS angstrom
3.093 0.000 0.000
-1.547 2.679 0.000
0.000 0.000 4.967

***

(4)
! Er6Ge2C PBE relaxed; values from VASP
! total magnetic moment = 0.227 μB/atom
! calculated volume = 27.31 Å³ per atom
! energy relative to the elements = -31.40 kJ/mol of atoms
! E = -48.8 eV per formula unit
&SYSTEM
  ibrav = 0, nat = 18, ntyp = 3
/
ATOMIC_SPECIES
Er 167.26 Er.upf
Ge 72.64 Ge.upf
C 12.01 C.upf
ATOMIC_POSITIONS crystal
Er 0.191 0.191 0.142
Er 0.191 0.191 0.858
Er 0.221 0.221 0.500
Er 0.279 0.721 0.000
Er 0.309 0.691 0.358
Er 0.309 0.691 0.642
Er 0.691 0.309 0.358
Er 0.691 0.309 0.642
Er 0.721 0.279 0.000
Er 0.779 0.779 0.500
Er 0.809 0.809 0.142
Er 0.809 0.809 0.858
Ge 0.000 0.000 0.328
Ge 0.000 0.000 0.672
Ge 0.500 0.500 0.172
Ge 0.500 0.500 0.828
C 0.000 0.000 0.000
C 0.500 0.500 0.500
CELL_PARAMETERS angstrom
6.357 0.000 0.000
0.000 6.357 0.000
0.000 0.000 12.162

***

(5)
! TiNbB3 PBE relaxed; values from VASP
! total magnetic moment = 0.000 μB/atom
! calculated volume = 12.17 Å³ per atom
! energy relative to the elements = 101.93 kJ/mol of atoms
! E = -32.7 eV per formula unit
! energy above the lowest structure with this stoichiometry = 1988 meV/atom
&SYSTEM
  ibrav = 0, nat = 5, ntyp = 3
/
ATOMIC_SPECIES
Ti 47.87 Ti.upf
Nb 92.91 Nb.upf
B 10.81 B.upf
ATOMIC_POSITIONS crystal
Ti 0.000 0.000 0.000
Nb 0.500 0.500 0.500
B 0.000 0.000 0.500
B 0.000 0.500 0.000
B 0.500 0.000 0.000
CELL_PARAMETERS angstrom
3.934 0.000 0.000
0.000 3.934 0.000
0.000 0.000 3.934

***

(6)
! Tb2YV PBE relaxed; values from VASP
! total magnetic moment = 0.805 μB/atom
! calculated volume = 28.55 Å³ per atom
! energy relative to the elements = 59.51 kJ/mol of atoms
! E = -22.4 eV per formula unit
&SYSTEM
  ibrav = 0, nat = 4, ntyp = 3
/
ATOMIC_SPECIES
Tb 158.93 Tb.upf
Y 88.91 Y.upf
V 50.94 V.upf
ATOMIC_POSITIONS crystal
Tb 0.082 0.082 0.082
Tb 0.918 0.918 0.918
Y 0.500 0.500 0.500
V 0.000 0.000 0.000
CELL_PARAMETERS angstrom
1.696 0.979 11.461
-1.696 0.979 11.461
0.000 -1.958 11.461

***

(7)
! SbTeHI2 PBE relaxed; values from VASP
! total magnetic moment = 0.000 μB/atom
! calculated volume = 26.58 Å³ per atom
! E = -11.2 eV per formula unit
! energy above the lowest structure with this stoichiometry = 0 meV/atom
&SYSTEM
  ibrav = 0, nat = 5, ntyp = 4
/
ATOMIC_SPECIES
Sb 121.76 Sb.upf
Te 127.60 Te.upf
H 1.01 H.upf
I 126.90 I.upf
ATOMIC_POSITIONS crystal
Sb 0.000 0.000 0.000
Te 0.500 0.500 0.000
H 0.500 0.500 0.500
I 0.000 0.500 0.500
I 0.500 0.000 0.500
CELL_PARAMETERS angstrom
5.843 0.000 0.000
0.000 5.843 0.000
0.000 0.000 3.893

***

(8)
! LaCd2P2 PBE relaxed; values from VASP
! total magnetic moment = 0.000 μB/atom
! calculated volume = 22.38 Å³ per atom
! energy relative to the elements = -50.78 kJ/mol of atoms
! E = -20.2 eV per formula unit
&SYSTEM
  ibrav = 0, nat = 5, ntyp = 3
/
ATOMIC_SPECIES
La 138.91 La.upf
Cd 112.41 Cd.upf
P 30.97 P.upf
ATOMIC_POSITIONS crystal
La 0.000 0.000 0.000
Cd 0.250 0.750 0.500
Cd 0.750 0.250 0.500
P 0.414 0.414 0.000
P 0.586 0.586 0.000
CELL_PARAMETERS angstrom
-2.062 2.062 6.576
2.062 -2.062 6.576
2.062 2.062 -6.576

***

(9)
! W3Cl PBE relaxed; values from VASP
! energy relative to the elements, uncorrected = 87.7 kJ/mol of atoms
! total magnetic moment = 0.000 μB/atom
! calculated volume = 16.55 Å³ per atom
! E = -37.1 eV per formula unit
! energy above the lowest structure with this stoichiometry = 336 meV/atom
&SYSTEM
  ibrav = 0, nat = 4, ntyp = 2
/
ATOMIC_SPECIES
W 183.84 W.upf
Cl 35.45 Cl.upf
ATOMIC_POSITIONS crystal
W 0.000 0.000 0.000
W 0.277 0.277 0.772
W 0.723 0.723 0.228
Cl 0.500 0.500 0.500
CELL_PARAMETERS angstrom
4.922 -1.495 0.000
4.922 1.495 0.000
-0.137 0.000 4.500

***

(10)
! MgIrO2F PBE relaxed; values from VASP
! energy relative to the elements, uncorrected = -77.7 kJ/mol of atoms
! total magnetic moment = 0.000 μB/atom
! calculated volume = 13.64 Å³ per atom
! E = -26.3 eV per formula unit
&SYSTEM
  ibrav = 0, nat = 5, ntyp = 4
/
ATOMIC_SPECIES
Mg 24.30 Mg.upf
Ir 192.22 Ir.upf
O 16.00 O.upf
F 19.00 F.upf
ATOMIC_POSITIONS crystal
Mg 0.000 0.000 0.000
Ir 0.500 0.500 0.500
O 0.000 0.500 0.500
O 0.500 0.000 0.500
F 0.500 0.500 0.000
CELL_PARAMETERS angstrom
3.861 0.000 0.000
0.000 3.861 0.000
0.000 0.000 4.575

***

(11)
! BaSr3Pd PBE relaxed; values from VASP
! total magnetic moment = 0.000 μB/atom
! calculated volume = 47.94 Å³ per atom
! energy relative to the elements = -28.20 kJ/mol of atoms
! E = -13.6 eV per formula unit
! energy above the lowest structure with this stoichiometry = 6 meV/atom
&SYSTEM
  ibrav = 0, nat = 20, ntyp = 3
/
ATOMIC_SPECIES
Ba 137.33 Ba.upf
Sr 87.62 Sr.upf
Pd 106.42 Pd.upf
ATOMIC_POSITIONS crystal
Ba 0.248 0.243 0.207
Ba 0.248 0.257 0.707
Ba 0.752 0.743 0.293
Ba 0.752 0.757 0.793
Sr 0.001 0.750 0.170
Sr 0.001 0.750 0.670
Sr 0.252 0.746 0.039
Sr 0.252 0.754 0.539
Sr 0.499 0.738 0.921
Sr 0.499 0.762 0.421
Sr 0.501 0.238 0.579
Sr 0.501 0.262 0.079
Sr 0.748 0.246 0.461
Sr 0.748 0.254 0.961
Sr 0.999 0.250 0.330
Sr 0.999 0.250 0.830
Pd 0.244 0.502 0.874
Pd 0.244 0.998 0.374
Pd 0.756 0.002 0.626
Pd 0.756 0.498 0.126
CELL_PARAMETERS angstrom
11.591 0.000 0.000
0.000 7.212 0.000
-9.903 0.000 11.470

***

(12)
! ReMoIr2 PBE relaxed; values from VASP
! total magnetic moment = 0.000 μB/atom
! calculated volume = 15.02 Å³ per atom
! energy relative to the elements = -3.40 kJ/mol of atoms
! E = -41.1 eV per formula unit
! energy above the lowest structure with this stoichiometry = 294 meV/atom
&SYSTEM
  ibrav = 0, nat = 4, ntyp = 3
/
ATOMIC_SPECIES
Re 186.21 Re.upf
Mo 95.94 Mo.upf
Ir 192.22 Ir.upf
ATOMIC_POSITIONS crystal
Re 0.000 0.000 0.000
Mo 0.245 0.245 0.245
Ir 0.498 0.498 0.498
Ir 0.746 0.746 0.746
CELL_PARAMETERS angstrom
1.382 0.798 9.083
-1.382 0.798 9.083
0.000 -1.595 9.083